Entry a
The following is a PBE calculation of an optimized crystal structure of SrLiIN2, from Alexandria.

```
SrLiIN2
1.0
4.897 0.000 0.000
0.000 4.897 0.000
0.000 0.000 6.718
Sr Li I N
1 1 1 2
Direct
0.000 0.000 0.000
0.500 0.500 0.500
0.000 0.000 0.500
0.000 0.500 0.000
0.500 0.000 0.000
```

Summary:
**Size of the total moment**: 4.0 Bohr magnetons per cell
**SG**: P4/mmm


Entry b
The following is a PBE calculation of an optimized crystal structure of SrLiIN2, from Alexandria.

```
SrLiIN2
1.0
4.563 0.000 0.000
0.000 4.563 0.000
0.000 0.000 5.029
Sr Li I N
1 1 1 2
Direct
0.000 0.000 0.000
0.500 0.500 0.500
0.500 0.500 0.000
0.000 0.500 0.500
0.500 0.000 0.500
```

Summary:
**Size of the total moment**: 4.0 Bohr magnetons per cell
**SG**: P4/mmm


Stability ranking, top entry: entry b; the second entry is 7.5 kJ/mol of atoms less favorable.


Entry a
The following is a PBE calculation of an optimized crystal structure of LiTiI2N, from Alexandria.

```
LiTiI2N
1.0
5.763 0.000 0.000
0.000 5.763 0.000
0.000 0.000 3.804
Li Ti I N
1 1 2 1
Direct
0.000 0.000 0.000
0.500 0.500 0.500
0.000 0.500 0.500
0.500 0.000 0.500
0.500 0.500 0.000
```

Summary:
**Size of the total moment**: 0.0 Bohr magnetons per cell
**SG**: P4/mmm


Entry b
The following is a PBE calculation of an optimized crystal structure of LiTiI2N, from Alexandria.

```
LiTiI2N
1.0
5.228 0.000 0.000
0.000 5.228 0.000
0.000 0.000 3.662
Li Ti I N
1 1 2 1
Direct
0.000 0.000 0.000
0.500 0.500 0.500
0.000 0.500 0.000
0.500 0.000 0.000
0.000 0.000 0.500
```

Summary:
**Size of the total moment**: 0.0 Bohr magnetons per cell
**SG**: P4/mmm


Stability ranking, top entry: entry a; the second entry is 121.4 kJ/mol of atoms less favorable.